{"formula": "Y4OsPd3", "functional": "PBE", "state": "optimized geometry", "formation_enthalpy_0k_mev_per_atom": -716, "dft_energy_ev_per_atom": -7.30, "volume_a3_per_cell": 169.9, "lattice": [[-0.0357, 1.4908, -3.1250], [2.6513, -1.9983, -0.9835], [-9.1136, -9.8342, -4.5872]], "species": ["Pd", "Pd", "Pd", "Y", "Y", "Y", "Y", "Os"], "fractional_positions": [[0.5000, 0.5000, 0.2503], [0.5000, 0.5000, 0.7497], [0.5000, 0.5000, 0.5000], [0.0000, 0.0000, 0.1176], [0.0000, 0.0000, 0.3733], [0.0000, 0.0000, 0.6267], [0.0000, 0.0000, 0.8824], [0.5000, 0.5000, 0.0000]]}